Crystalline NbAgW2 at its relaxed geometry, computed with PBE.

The value obtained for the formation energy is 0.48 eV per atom. The energy is -147.632 eV/cell. Its crystal system is cubic. Its size of the total moment is 0.0 μB per cell.

The space group is F-43m (No. 216) and the conventional cell measures 6.471, 6.471 and 6.471 Å, with angles of 90.00, 90.00 and 90.00 degrees. Symmetry generates all atoms from Nb at (0.000, 0.000, 0.000), Ag at (0.250, 0.250, 0.250), W at (0.000, 0.000, 0.500) and W at (0.250, 0.250, 0.750).

***

Crystalline Co2Ir at its relaxed geometry, computed with PBE.

The value obtained for the formation energy is 2.46 eV per atom. The energy is -125.429 eV/cell. As for the energy above the most stable polymorph in this dataset: 673 kJ/mol of formula units. Its crystal system is cubic. Its size of the total moment is 37.8 μB per cell.

The space group is Fd-3m (No. 227, origin choice 2) and the conventional cell measures 10.504, 10.504 and 10.504 Å, with angles of 90.00, 90.00 and 90.00 degrees. Symmetry generates all atoms from Co at (0.000, 0.000, 0.000) and Ir at (0.125, 0.125, 0.125).

***

Crystalline AsAuSO at its relaxed geometry, computed with PBE.

The energy is -34.669 eV/cell. As for the energy above the most stable polymorph in this dataset: 164 kJ/mol of formula units. Its crystal system is tetragonal.

The space group is P4/nmm (No. 129, origin choice 2) and the conventional cell measures 3.752, 3.752 and 8.862 Å, with angles of 90.00, 90.00 and 90.00 degrees. Symmetry generates all atoms from As at (0.250, 0.250, 0.122), Au at (0.250, 0.750, 0.500), S at (0.250, 0.250, 0.725) and O at (0.250, 0.750, 0.000).

***

Crystalline SiMoPd2 at its relaxed geometry, computed with PBE.

The energy is -109.087 eV/cell. Its crystal system is cubic. Its size of the total moment is 1.3 μB per cell.

The space group is F-43m (No. 216) and the conventional cell measures 6.157, 6.157 and 6.157 Å, with angles of 90.00, 90.00 and 90.00 degrees. Symmetry generates all atoms from Si at (0.000, 0.000, 0.000), Mo at (0.250, 0.250, 0.250), Pd at (0.000, 0.000, 0.500) and Pd at (0.250, 0.250, 0.750).

***

Crystalline SrCuSi at its relaxed geometry, computed with PBE.

The energy is -33.626 eV/cell. Its crystal system is hexagonal.

The space group is P-62m (No. 189) and the conventional cell measures 7.2991, 7.2991 and 4.0320 Å, with angles of 90.00, 90.00 and 120.00 degrees. Symmetry generates all atoms from Sr at (0.0000, 0.5798, 0.0000), Cu at (0.0000, 0.0000, 0.0000), Cu at (0.3333, 0.6667, 0.5000) and Si at (0.0000, 0.2115, 0.5000).

***

Crystalline Pm3YPt4 at its relaxed geometry, computed with PBE.

The value obtained for the formation energy is -1.06 eV per atom. The energy is -53.433 eV/cell. Its crystal system is cubic. Its size of the total moment is 0.0 μB per cell.

The space group is Pm-3m (No. 221) and the conventional cell measures 5.856, 5.856 and 5.856 Å, with angles of 90.00, 90.00 and 90.00 degrees. Symmetry generates all atoms from Pm at (0.000, 0.000, 0.500), Y at (0.500, 0.500, 0.500), Pt at (0.000, 0.000, 0.000) and Pt at (0.000, 0.500, 0.500).

***

Crystalline GaAg at its relaxed geometry, computed with PBE.

The energy is -58.240 eV/cell. Its crystal system is monoclinic.

The space group is C2/m (No. 12) and the conventional cell measures 13.217, 4.469 and 7.655 Å, with angles of 90.00, 123.76 and 90.00 degrees. Symmetry generates all atoms from Ga at (0.000, 0.000, 0.000), Ga at (0.117, 0.000, 0.736), Ga at (0.159, 0.500, 0.354), Ag at (0.000, 0.500, 0.500), Ag at (0.107, 0.500, 0.946) and Ag at (0.242, 0.000, 0.231).

***

Crystalline GdMgNO at its relaxed geometry, computed with PBE.

The energy is -107.271 eV/cell. As for the energy above the most stable polymorph in this dataset: 87 kJ/mol of formula units. Its crystal system is orthorhombic. Its size of the total moment is 0.0 μB per cell.

The space group is Pca2_1 (No. 29) and the conventional cell measures 6.183, 6.960 and 5.725 Å, with angles of 90.00, 90.00 and 90.00 degrees. Symmetry generates all atoms from Gd at (0.072, 0.151, 0.000), Mg at (0.093, 0.607, 0.013), N at (0.098, 0.615, 0.651) and O at (0.076, 0.133, 0.605).

***

Crystalline MoP4H36C12Cl2 at its relaxed geometry, computed with PBE.

The energy is -563.146 eV/cell. Its crystal system is tetragonal. Its size of the total moment is 4.0 μB per cell.

The space group is I-42m (No. 121) and the conventional cell measures 9.511, 9.511 and 12.113 Å, with angles of 90.00, 90.00 and 90.00 degrees. Symmetry generates all atoms from Mo at (0.000, 0.000, 0.000), P at (0.182, 0.182, 0.966), H at (0.052, 0.399, 0.927), H at (0.077, 0.295, 0.807), H at (0.100, 0.281, 0.360), H at (0.154, 0.154, 0.556), H at (0.179, 0.311, 0.634), C at (0.128, 0.334, 0.882), C at (0.231, 0.231, 0.583) and Cl at (0.000, 0.000, 0.204).

***

Crystalline LiLuReTc at its relaxed geometry, computed with PBE.

The energy is -99.066 eV/cell. As for the energy above the most stable polymorph in this dataset: 394 kJ/mol of formula units. Its crystal system is cubic. Its size of the total moment is 0.7 μB per cell.

The space group is F-43m (No. 216) and the conventional cell measures 7.401, 7.401 and 7.401 Å, with angles of 90.00, 90.00 and 90.00 degrees. Symmetry generates all atoms from Li at (0.000, 0.000, 0.000), Lu at (0.250, 0.250, 0.250), Re at (0.000, 0.000, 0.500) and Tc at (0.250, 0.250, 0.750).

***

Crystalline YCd2Os at its relaxed geometry, computed with PBE.

The value obtained for the formation energy is 0.16 eV per atom. The energy is -75.300 eV/cell. Its crystal system is cubic. Its size of the total moment is 0.1 μB per cell.

The space group is F-43m (No. 216) and the conventional cell measures 6.884, 6.884 and 6.884 Å, with angles of 90.00, 90.00 and 90.00 degrees. Symmetry generates all atoms from Y at (0.000, 0.000, 0.000), Cd at (0.000, 0.000, 0.500), Cd at (0.250, 0.250, 0.250) and Os at (0.250, 0.250, 0.750).

***

Crystalline NaCuPtW at its relaxed geometry, computed with PBE.

The energy is -89.081 eV/cell. As for the energy above the most stable polymorph in this dataset: 0 kJ/mol of formula units. Its crystal system is cubic. Its size of the total moment is 0.0 μB per cell.

The space group is F-43m (No. 216) and the conventional cell measures 6.276, 6.276 and 6.276 Å, with angles of 90.00, 90.00 and 90.00 degrees. Symmetry generates all atoms from Na at (0.000, 0.000, 0.000), Cu at (0.250, 0.250, 0.750), Pt at (0.250, 0.250, 0.250) and W at (0.000, 0.000, 0.500).